Here is crystalline Nb2V4F at its relaxed geometry from Alexandria via LeMat-Bulk. Energies are from GGA+U.

Results
* VASP energy: -45.8 eV per formula unit
* crystal system: tetragonal

a = 4.0436 Å, b = 4.0436 Å, c = 14.7723 Å
α = 90.00°, β = 90.00°, γ = 90.00°
Space group I4/mmm (No. 139)
Symmetry-distinct sites (fractional):
1 Nb 0.0000 0.0000 0.1528 [4 per cell]
2 V 0.0000 0.0000 0.3289 [4 per cell]
3 V 0.0000 0.5000 0.0000 [4 per cell]
4 F 0.0000 0.0000 0.5000 [2 per cell]